Record 1
Density functional theory data (PBE-GGA) for a relaxed structure of Rb2Sn4HgPb3.

Lattice parameters (Å, degrees): 5.2145 5.2145 13.2266 90.00 90.00 90.00
Space group P-4m2 (No. 115)
Unique sites:
Rb 0.0000 0.5000 0.2445 x2
Sn 0.0000 0.0000 0.5000 x1
Sn 0.0000 0.5000 0.8758 x2
Sn 0.5000 0.5000 0.5000 x1
Hg 0.5000 0.5000 0.0000 x1
Pb 0.0000 0.0000 0.0000 x1
Pb 0.0000 0.5000 0.6336 x2

Output
For the final energy, the calculation gives -3.0340 eV per atom. Its formation energy is -0.967 eV/f.u.


Record 2
Density functional theory data (PBE-GGA) for a relaxed structure of RbSn2HgPb.

Lattice parameters (Å, degrees): 4.9802 5.4632 12.3706 90.00 90.00 90.00
Space group Imm2 (No. 44)
Unique sites:
Rb 0.0000 0.0000 0.0000 x2
Sn 0.0000 0.0000 0.6199 x2
Sn 0.0000 0.5000 0.2629 x2
Hg 0.0000 0.0000 0.3867 x2
Pb 0.0000 0.5000 0.7448 x2

Output
For the final energy, the calculation gives -2.7330 eV per atom. Its formation energy is -0.681 eV/f.u.


Record 3
Density functional theory data (PBE-GGA) for a relaxed structure of RbSrHg2Pb.

Lattice parameters (Å, degrees): 6.0676 6.0676 7.1242 90.00 90.00 90.00
Space group P4/mmm (No. 123)
Unique sites:
Rb 0.0000 0.0000 0.0000 x1
Sr 0.0000 0.0000 0.5000 x1
Hg 0.0000 0.5000 0.5000 x2
Pb 0.5000 0.5000 0.0000 x1

Output
For the final energy, the calculation gives -0.9658 eV per atom. Its formation energy is 2.133 eV/f.u.


Record 4
Density functional theory data (PBE-GGA) for a relaxed structure of Rb2Hg2Te4Pb.

Lattice parameters (Å, degrees): 17.5958 4.7369 8.7355 90.00 109.19 90.00
Space group C2/m (No. 12)
Unique sites:
Rb 0.1290 0.0000 0.0654 x4
Hg 0.1652 0.5000 0.4836 x4
Te 0.0133 0.5000 0.2450 x4
Te 0.2024 0.0000 0.6891 x4
Pb 0.0000 0.0000 0.5000 x2

Output
The value obtained for the uncorrected formation energy is -0.54 eV/atom. For the final energy, the calculation gives -2.6344 eV per atom.


Record 5
Density functional theory data (PBE-GGA) for a relaxed structure of RbHgTePb.

Lattice parameters (Å, degrees): 8.2260 8.2260 8.2260 90.00 90.00 90.00
Space group F-43m (No. 216)
Unique sites:
Rb 0.0000 0.0000 0.0000 x4
Hg 0.2500 0.2500 0.7500 x4
Te 0.2500 0.2500 0.2500 x4
Pb 0.0000 0.0000 0.5000 x4

Output
The value obtained for the uncorrected formation energy is -0.27 eV/atom. For the final energy, the calculation gives -2.2971 eV per atom.


Record 6
Density functional theory data (PBE-GGA) for a relaxed structure of RbHg2TePb.

Lattice parameters (Å, degrees): 5.9213 5.9213 6.2908 90.00 90.00 90.00
Space group P4/mmm (No. 123)
Unique sites:
Rb 0.0000 0.0000 0.0000 x1
Hg 0.0000 0.5000 0.5000 x2
Te 0.5000 0.5000 0.0000 x1
Pb 0.5000 0.5000 0.5000 x1

Output
The value obtained for the uncorrected formation energy is -0.21 eV/atom. For the final energy, the calculation gives -1.8988 eV per atom.


Record 7
Density functional theory data (PBE-GGA) for a relaxed structure of RbHgTe2Pb.

Lattice parameters (Å, degrees): 8.6209 6.8405 6.9141 90.00 112.15 90.00
Space group P2/c (No. 13)
Unique sites:
Rb 0.0000 0.2283 0.2500 x2
Hg 0.5000 0.0000 0.0000 x2
Te 0.2027 0.2713 0.8480 x4
Pb 0.5000 0.4907 0.2500 x2

Output
The value obtained for the uncorrected formation energy is -0.37 eV/atom. For the final energy, the calculation gives -2.6234 eV per atom.


Record 8
Density functional theory data (PBE-GGA) for a relaxed structure of Rb2TlHg6Pb.

Lattice parameters (Å, degrees): 11.8800 12.0631 8.4384 90.00 134.28 90.00
Space group C2/m (No. 12)
Unique sites:
Rb 0.0000 0.2500 0.0000 x4
Tl 0.0000 0.0000 0.5000 x2
Hg 0.0000 0.2478 0.5000 x4
Hg 0.2481 0.0000 0.5005 x4
Hg 0.2482 0.0000 0.9958 x4
Pb 0.0000 0.5000 0.5000 x2

Output
For the final energy, the calculation gives -1.0144 eV per atom. Its formation energy is -0.324 eV/f.u.


Record 9
Density functional theory data (PBE-GGA) for a relaxed structure of RbTl4Hg2Pb.

Lattice parameters (Å, degrees): 5.3126 5.3126 10.0783 90.00 90.00 90.00
Space group P4/mmm (No. 123)
Unique sites:
Rb 0.0000 0.0000 0.0000 x1
Tl 0.0000 0.5000 0.3148 x4
Hg 0.5000 0.5000 0.1447 x2
Pb 0.0000 0.0000 0.5000 x1

Output
For the final energy, the calculation gives -1.9064 eV per atom. Its formation energy is -0.506 eV/f.u.


Record 10
Density functional theory data (PBE-GGA) for a relaxed structure of RbTl4HgPb2.

Lattice parameters (Å, degrees): 5.6139 5.6139 28.8732 90.00 90.00 120.00
Space group R-3m (No. 166, hexagonal axes)
Unique sites:
Rb 0.0000 0.0000 0.0000 x3
Tl 0.0000 0.0000 0.1322 x6
Tl 0.0000 0.0000 0.3927 x6
Hg 0.0000 0.0000 0.5000 x3
Pb 0.0000 0.0000 0.2477 x6

Output
For the final energy, the calculation gives -2.3010 eV per atom. Its formation energy is -0.257 eV/f.u.


Record 11
Density functional theory data (PBE-GGA) for a relaxed structure of Rb2Tl3Hg4Pb.

Lattice parameters (Å, degrees): 5.5514 5.5514 11.6705 90.00 90.00 90.00
Space group P-4m2 (No. 115)
Unique sites:
Rb 0.0000 0.5000 0.2434 x2
Tl 0.0000 0.5000 0.8859 x2
Tl 0.5000 0.5000 0.5000 x1
Hg 0.0000 0.0000 0.0000 x1
Hg 0.0000 0.5000 0.6251 x2
Hg 0.5000 0.5000 0.0000 x1
Pb 0.0000 0.0000 0.5000 x1

Output
For the final energy, the calculation gives -1.5185 eV per atom. Its formation energy is -1.236 eV/f.u.


Record 12
Density functional theory data (PBE-GGA) for a relaxed structure of Rb2Tl6HgPb.

Lattice parameters (Å, degrees): 8.3523 8.3523 40.9349 90.00 90.00 120.00
Space group R-3m (No. 166, hexagonal axes)
Unique sites:
Rb 0.0000 0.0000 0.1519 x6
Rb 0.0000 0.0000 0.2903 x6
Tl 0.0365 0.5183 0.1117 x18
Tl 0.0803 0.5401 0.7325 x18
Hg 0.0000 0.0000 0.0000 x3
Hg 0.0000 0.0000 0.5000 x3
Pb 0.0000 0.0000 0.3800 x6

Output
For the final energy, the calculation gives -2.0160 eV per atom. Its formation energy is -0.017 eV/f.u.


Record 13
Density functional theory data (PBE-GGA) for a relaxed structure of RbTl2HgPb.

Lattice parameters (Å, degrees): 5.2418 5.3149 12.8985 90.00 90.00 90.00
Space group Imm2 (No. 44)
Unique sites:
Rb 0.0000 0.0000 0.0000 x2
Tl 0.0000 0.0000 0.3826 x2
Tl 0.0000 0.5000 0.2434 x2
Hg 0.0000 0.0000 0.6134 x2
Pb 0.0000 0.5000 0.7442 x2

Output
For the final energy, the calculation gives -2.0526 eV per atom. Its formation energy is -0.553 eV/f.u.


Record 14
Density functional theory data (PBE-GGA) for a relaxed structure of Rb2ZnHgPb.

Lattice parameters (Å, degrees): 6.8977 6.8977 5.1752 90.00 90.00 90.00
Space group P4/mmm (No. 123)
Unique sites:
Rb 0.0000 0.5000 0.0000 x2
Zn 0.0000 0.0000 0.0000 x1
Hg 0.5000 0.5000 0.5000 x1
Pb 0.0000 0.0000 0.5000 x1

Output
For the final energy, the calculation gives -1.4129 eV per atom. Its formation energy is 0.155 eV/f.u.


Record 15
Density functional theory data (PBE-GGA) for a relaxed structure of Re4HgPb.

Lattice parameters (Å, degrees): 7.5963 7.5963 7.5963 90.00 90.00 90.00
Space group F-43m (No. 216)
Unique sites:
Re 0.1242 0.1242 0.1242 x16
Hg 0.2500 0.2500 0.7500 x4
Pb 0.0000 0.0000 0.5000 x4

Output
For the final energy, the calculation gives -8.0413 eV per atom. Its formation energy is 5.555 eV/f.u.


Record 16
Density functional theory data (PBE-GGA) for a relaxed structure of ReHgPb2.

Lattice parameters (Å, degrees): 4.7628 3.5781 10.8424 90.00 90.00 90.00
Space group Amm2 (No. 38)
Unique sites:
Re 0.0000 0.0000 0.0000 x2
Hg 0.5000 0.0000 0.1503 x2
Pb 0.0000 0.0000 0.7250 x2
Pb 0.5000 0.0000 0.4222 x2

Output
For the final energy, the calculation gives -4.2580 eV per atom. Its formation energy is 3.135 eV/f.u.


Record 17
Density functional theory data (PBE-GGA) for a relaxed structure of ReHgPb2.

Lattice parameters (Å, degrees): 3.1952 3.1952 32.8881 90.00 90.00 120.00
Space group R3m (No. 160, hexagonal axes)
Unique sites:
Re 0.0000 0.0000 0.0000 x3
Hg 0.0000 0.0000 0.7353 x3
Pb 0.0000 0.0000 0.2640 x3
Pb 0.0000 0.0000 0.4863 x3

Output
For the final energy, the calculation gives -4.3586 eV per atom. Its formation energy is 2.732 eV/f.u.


Record 18
Density functional theory data (PBE-GGA) for a relaxed structure of ReHgPb2.

Lattice parameters (Å, degrees): 3.6709 5.1084 10.9422 90.00 90.00 90.00
Space group Cmmm (No. 65)
Unique sites:
Re 0.0000 0.0000 0.0000 x2
Hg 0.0000 0.0000 0.5000 x2
Pb 0.0000 0.5000 0.2026 x4

Output
For the final energy, the calculation gives -4.3816 eV per atom. Its formation energy is 2.640 eV/f.u.


Record 19
Density functional theory data (PBE-GGA) for a relaxed structure of ReHgPb2.

Lattice parameters (Å, degrees): 5.3208 5.3208 3.2991 90.00 90.00 90.00
Space group P4/mmm (No. 123)
Unique sites:
Re 0.0000 0.0000 0.0000 x1
Hg 0.5000 0.5000 0.0000 x1
Pb 0.0000 0.5000 0.5000 x2

Output
For the final energy, the calculation gives -4.1011 eV per atom. Its formation energy is 3.762 eV/f.u.


Record 20
Density functional theory data (PBE-GGA) for a relaxed structure of ReHgPb2.

Lattice parameters (Å, degrees): 3.1946 3.1946 9.5070 90.00 90.00 90.00
Space group P4mm (No. 99)
Unique sites:
Re 0.0000 0.0000 0.0000 x1
Hg 0.5000 0.5000 0.1936 x1
Pb 0.0000 0.0000 0.4576 x1
Pb 0.5000 0.5000 0.7913 x1

Output
For the final energy, the calculation gives -4.2930 eV per atom. Its formation energy is 2.994 eV/f.u.


Record 21
Density functional theory data (PBE-GGA) for a relaxed structure of Re3HgPb.

Lattice parameters (Å, degrees): 4.9932 4.9932 4.9932 90.00 90.00 90.00
Space group Pm-3m (No. 221)
Unique sites:
Re 0.0000 0.0000 0.5000 x3
Hg 0.5000 0.5000 0.5000 x1
Pb 0.0000 0.0000 0.0000 x1

Output
As for the relative energy among the computed polymorphs: 209 meV per atom. For the final energy, the calculation gives -5.0590 eV per atom. Its formation energy is 16.059 eV/f.u.


Record 22
Density functional theory data (PBE-GGA) for a relaxed structure of Re2Hg2Pb.

Lattice parameters (Å, degrees): 4.2595 4.2595 12.2637 90.00 90.00 90.00
Space group I4/mmm (No. 139)
Unique sites:
Re 0.0000 0.0000 0.0919 x4
Hg 0.0000 0.5000 0.2500 x4
Pb 0.0000 0.0000 0.5000 x2

Output
As for the relative energy among the computed polymorphs: 224 meV per atom. For the final energy, the calculation gives -4.7279 eV per atom. Its formation energy is 5.568 eV/f.u.


Record 23
Density functional theory data (PBE-GGA) for a relaxed structure of Re2HgPb.

Lattice parameters (Å, degrees): 2.9691 2.9691 31.3749 90.00 90.00 120.00
Space group R3m (No. 160, hexagonal axes)
Unique sites:
Re 0.0000 0.0000 0.0000 x3
Re 0.0000 0.0000 0.2705 x3
Hg 0.0000 0.0000 0.5228 x3
Pb 0.0000 0.0000 0.7510 x3

Output
As for the relative energy among the computed polymorphs: 97 meV per atom. For the final energy, the calculation gives -6.7065 eV per atom. Its formation energy is 2.080 eV/f.u.


Record 24
Density functional theory data (PBE-GGA) for a relaxed structure of Re2HgPb.

Lattice parameters (Å, degrees): 3.0421 4.8454 5.0902 90.00 90.00 90.00
Space group Pmmm (No. 47)
Unique sites:
Re 0.0000 0.0000 0.0000 x1
Re 0.5000 0.0000 0.5000 x1
Hg 0.0000 0.5000 0.5000 x1
Pb 0.5000 0.5000 0.0000 x1

Output
As for the relative energy among the computed polymorphs: 761 meV per atom. For the final energy, the calculation gives -6.0424 eV per atom. Its formation energy is 4.737 eV/f.u.


Record 25
Density functional theory data (PBE-GGA) for a relaxed structure of ReHgPb2.

Lattice parameters (Å, degrees): 6.2603 6.2603 14.7359 90.00 90.00 90.00
Space group I-42d (No. 122)
Unique sites:
Re 0.0000 0.0000 0.0000 x4
Hg 0.0000 0.0000 0.5000 x4
Pb 0.1629 0.2500 0.1250 x8

Output
For the final energy, the calculation gives -3.8756 eV per atom. Its formation energy is 4.664 eV/f.u.


Record 26
Density functional theory data (PBE-GGA) for a relaxed structure of Re2HgPb.

Lattice parameters (Å, degrees): 3.0940 4.7763 11.7578 90.00 90.00 90.00
Space group Imm2 (No. 44)
Unique sites:
Re 0.0000 0.0000 0.0000 x2
Re 0.0000 0.5000 0.3444 x2
Hg 0.0000 0.5000 0.8126 x2
Pb 0.0000 0.0000 0.5988 x2

Output
As for the relative energy among the computed polymorphs: 483 meV per atom. For the final energy, the calculation gives -6.3206 eV per atom. Its formation energy is 3.624 eV/f.u.